The following is a DFT calculation (PBE) of a geometry-optimized GdHoRu4 structure.

Values from the calculation:
SG ... F-43m, No. 216
ΔE_f ... -1.7 eV per formula unit
Calculated density ... 11.19 g cm⁻³

a = 5.3416 Å, b = 5.3416 Å, c = 5.3416 Å
α = 60.00°, β = 60.00°, γ = 60.00°
Fractional coordinates of all 6 atoms:
Gd (0.0000, 0.0000, 0.0000)
Ho (0.2500, 0.2500, 0.2500)
Ru (0.1253, 0.6249, 0.6249)
Ru (0.6249, 0.1253, 0.6249)
Ru (0.6249, 0.6249, 0.1253)
Ru (0.6249, 0.6249, 0.6249)